PBE PrBeSiPd6, optimized geometry; Fermi-level density of states = 0.41 states/eV per atom; ΔE_f (raw) = -0.37 eV/atom; calculated total energy = -5.38 eV per atom; crystal system = orthorhombic; space-group type = No. 74
1.0
-5.194 5.143 -0.160
-0.115 -0.373 -8.211
-1.249 -6.320 4.419
Pd Si Be Pr
12 2 2 2
direct
0.436 0.686 0.872
0.394 0.641 0.249
0.564 0.314 0.128
0.145 0.359 0.751
0.886 0.136 0.772
0.114 0.864 0.228
0.855 0.108 0.249
0.145 0.892 0.751
0.855 0.641 0.249
0.606 0.892 0.751
0.394 0.108 0.249
0.606 0.359 0.751
0.500 0.000 0.500
0.000 0.000 0.500
0.500 0.500 0.000
0.500 0.000 0.000
0.177 0.427 0.355
0.823 0.573 0.645

***

PBE AlCdIn, optimized geometry; Fermi-level density of states = 0.38 states/eV per atom; calculated total energy = -2.34 eV per atom; crystal system = monoclinic; space-group type = No. 12
1.0
5.576 -0.168 0.139
4.181 6.511 -0.036
3.926 0.912 3.860
Al Cd In
2 2 2
direct
0.335 0.386 0.562
0.053 0.726 0.280
0.032 0.115 0.259
0.356 0.998 0.583
0.775 0.718 0.002
0.613 0.395 0.840

***

PBE La3Y2In, optimized geometry; Fermi-level density of states = 1.28 states/eV per atom; calculated total energy = -5.23 eV per atom; crystal system = triclinic; space-group type = No. 2
1.0
6.992 -0.807 -1.836
-3.578 5.283 -2.004
-2.645 0.285 12.161
La In Y
6 2 4
direct
0.576 0.006 0.260
0.424 0.994 0.740
0.030 0.251 0.048
0.273 0.363 0.620
0.970 0.749 0.952
0.727 0.637 0.380
0.887 0.964 0.711
0.113 0.036 0.289
0.242 0.640 0.392
0.758 0.360 0.608
0.391 0.649 0.935
0.609 0.351 0.065

***

PBE Sc2HPdPb, optimized geometry; Fermi-level density of states = 0.66 states/eV per atom; calculated total energy = -5.52 eV per atom; crystal system = tetragonal; space-group type = No. 123
1.0
4.588 0.000 0.000
0.000 4.588 0.000
0.000 0.000 4.016
Pb Sc Pd H
1 2 1 1
direct
0.500 0.500 0.500
0.000 0.500 0.000
0.500 0.000 0.000
0.000 0.000 0.500
0.000 0.000 0.000

***

PBE CuP2SCl, optimized geometry; Fermi-level density of states = 0.84 states/eV per atom; ΔE_f (raw) = 0.88 eV/atom; calculated total energy = -3.30 eV per atom; crystal system = tetragonal; polymorph energy (0 for the lowest one) = 31 meV/atom; space-group type = No. 123
1.0
4.653 0.000 0.000
0.000 4.653 0.000
0.000 0.000 4.395
P Cu Cl S
2 1 1 1
direct
0.000 0.500 0.000
0.500 0.000 0.000
0.000 0.000 0.000
0.500 0.500 0.500
0.000 0.000 0.500

***

PBE SmDyCl3, optimized geometry; ΔE_f (raw) = -1.84 eV/atom; calculated total energy = -4.81 eV per atom; crystal system = monoclinic; space-group type = No. 12
1.0
3.805 0.000 0.765
1.452 7.646 2.621
0.014 -0.044 9.773
Dy Cl Sm
2 6 2
direct
0.585 0.783 0.047
0.415 0.217 0.953
0.341 0.811 0.507
0.777 0.331 0.115
0.223 0.669 0.885
0.046 0.656 0.253
0.954 0.344 0.747
0.659 0.189 0.493
0.140 0.011 0.709
0.860 0.989 0.291

***

PBE Ba4P2I5, optimized geometry; Fermi-level density of states = 0.29 states/eV per atom; ΔE_f (raw) = -1.48 eV/atom; calculated total energy = -3.87 eV per atom; crystal system = orthorhombic; space-group type = No. 71
1.0
-2.806 -2.589 3.126
-1.933 -6.037 -6.733
10.872 -1.527 4.599
Ba I P
4 5 2
direct
0.000 0.717 0.000
0.695 0.695 0.390
0.000 0.283 0.000
0.305 0.305 0.610
0.832 0.597 0.663
0.500 0.000 0.000
0.832 0.066 0.663
0.168 0.403 0.337
0.168 0.934 0.337
0.549 0.549 0.099
0.451 0.451 0.901

***

PBE K4NdSb3O12, optimized geometry; Fermi-level density of states = 0.49 states/eV per atom; ΔE_f (raw) = -1.64 eV/atom; calculated total energy = -5.69 eV per atom; crystal system = cubic; space-group type = No. 229
1.0
-4.855 -3.824 3.827
6.485 -0.359 3.266
-2.139 6.937 -0.384
O Sb Nd K
12 3 1 4
direct
0.750 0.500 0.250
0.000 0.728 0.728
0.272 0.000 0.272
0.000 0.272 0.272
0.728 0.000 0.728
0.250 0.500 0.750
0.250 0.750 0.500
0.728 0.728 0.000
0.272 0.272 0.000
0.750 0.250 0.500
0.500 0.250 0.750
0.500 0.750 0.250
0.500 0.000 0.500
0.500 0.500 0.000
0.000 0.500 0.500
0.000 0.000 0.000
0.000 0.000 0.500
0.000 0.500 0.000
0.500 0.000 0.000
0.500 0.500 0.500